1.
Material: La2TcPt
Method: DFT, PBE
State: relaxed

Structure (POSCAR):
```
La2TcPt
1.0
4.973 0.000 0.000
2.486 4.307 0.000
2.486 1.436 4.060
La Pt Tc
2 1 1
Direct
0.000 0.000 0.000 La
0.750 0.750 0.750 La
0.500 0.500 0.500 Pt
0.250 0.250 0.250 Tc
```

Calculated values
As for the calculated density: 10.90 g/cm³. Its total energy is -6.6581 eV per atom.

2.
Material: LaTcPt3
Method: DFT, PBE
State: relaxed

Structure (POSCAR):
```
LaTcPt3
1.0
-4.404 0.603 -1.993
-2.035 -2.232 3.821
-0.440 4.287 2.270
Tc Pt La
1 3 1
Direct
0.000 0.000 0.000 Tc
0.000 0.500 0.000 Pt
0.000 0.000 0.500 Pt
0.500 0.000 0.000 Pt
0.500 0.500 0.500 La
```

Calculated values
As for the calculated density: 11.81 g/cm³. Its total energy is -6.6788 eV per atom.

3.
Material: La2TcPt
Method: DFT, PBE
State: relaxed

Structure (POSCAR):
```
La2TcPt
1.0
-3.153 -6.933 -1.124
6.157 -2.135 -4.101
2.904 -5.603 0.048
Tc Pt La
2 2 4
Direct
0.500 0.500 0.000 Tc
0.250 0.750 0.500 Tc
0.000 0.000 0.000 Pt
0.750 0.250 0.500 Pt
0.600 0.125 0.250 La
0.150 0.625 0.250 La
0.375 0.400 0.750 La
0.875 0.850 0.750 La
```

Calculated values
As for the calculated density: 10.02 g/cm³. Its total energy is -6.6843 eV per atom.

4.
Material: La2TcPt
Method: DFT, PBE
State: relaxed

Structure (POSCAR):
```
La2TcPt
1.0
5.930 -0.001 0.000
2.891 5.177 0.000
-4.410 -2.588 3.002
La Pt Tc
2 1 1
Direct
0.000 0.000 0.000 La
0.250 0.750 0.500 La
0.500 0.500 0.000 Pt
0.750 0.250 0.500 Tc
```

Calculated values
As for the calculated density: 10.29 g/cm³. Its total energy is -6.7416 eV per atom.

5.
Material: La2VTcPt
Method: DFT, PBE
State: relaxed

Structure (POSCAR):
```
La2VTcPt
1.0
5.402 0.000 0.000
0.000 4.552 0.000
0.000 0.000 5.402
V Tc Pt La
1 1 1 2
Direct
0.000 0.500 0.000 V
0.000 0.000 0.000 Tc
0.500 0.500 0.500 Pt
0.000 0.000 0.500 La
0.500 0.000 0.000 La
```

Calculated values
As for the calculated density: 7.77 g/cm³. Its total energy is -6.8532 eV per atom.

6.
Material: LaZnTc2Pt
Method: DFT, PBE
State: relaxed

Structure (POSCAR):
```
LaZnTc2Pt
1.0
-2.999 -3.226 -2.101
-1.949 -0.919 4.194
-3.279 3.537 -0.749
Zn Tc Pt La
1 2 1 1
Direct
0.000 0.500 0.000 Zn
0.000 0.000 0.500 Tc
0.500 0.000 0.000 Tc
0.000 0.000 0.000 Pt
0.500 0.500 0.500 La
```

Calculated values
As for the calculated density: 8.80 g/cm³. Its total energy is -5.9160 eV per atom.

7.
Material: LaTe2Pt2
Method: DFT, PBE
State: relaxed

Structure (POSCAR):
```
LaTe2Pt2
1.0
5.088 0.000 0.000
0.000 5.088 0.000
2.544 2.544 4.735
Te Pt La
2 2 1
Direct
0.750 0.250 0.500 Te
0.250 0.750 0.500 Te
0.354 0.354 0.292 Pt
0.646 0.646 0.708 Pt
0.000 0.000 0.000 La
```

Calculated values
As for the calculated density: 10.62 g/cm³. Its total energy is -5.3485 eV per atom.

8.
Material: LaTePt
Method: DFT, PBE
State: relaxed

Structure (POSCAR):
```
LaTePt
1.0
-0.155 4.187 -4.747
-1.513 -4.260 0.514
-7.756 3.117 3.002
Pt Te La
2 2 2
Direct
0.376 0.752 0.000 Pt
0.578 0.155 0.500 Pt
0.680 0.360 0.217 Te
0.680 0.360 0.783 Te
0.177 0.353 0.722 La
0.177 0.353 0.278 La
```

Calculated values
As for the calculated density: 8.34 g/cm³. Its total energy is -5.5430 eV per atom.

9.
Material: LaTePt2
Method: DFT, PBE
State: relaxed

Structure (POSCAR):
```
LaTePt2
1.0
5.019 0.000 0.000
2.509 4.346 0.000
2.509 1.449 4.098
La Pt Te
1 2 1
Direct
0.500 0.500 0.500 La
0.000 0.000 0.000 Pt
0.250 0.250 0.250 Pt
0.750 0.750 0.750 Te
```

Calculated values
As for the calculated density: 12.20 g/cm³. Its total energy is -5.5462 eV per atom.

10.
Material: La5Te4Pt
Method: DFT, PBE
State: relaxed

Structure (POSCAR):
```
La5Te4Pt
1.0
4.500 0.000 -0.634
-0.089 4.499 -0.634
-0.005 -0.005 16.247
La Te Pt
5 4 1
Direct
0.089 0.089 0.178 La
0.500 0.500 0.000 La
0.911 0.911 0.822 La
0.296 0.296 0.591 La
0.704 0.704 0.409 La
0.398 0.398 0.796 Te
0.807 0.807 0.613 Te
0.193 0.193 0.387 Te
0.602 0.602 0.204 Te
0.000 0.000 0.000 Pt
```

Calculated values
As for the calculated density: 7.07 g/cm³. Its total energy is -5.8003 eV per atom.

11.
Material: LaTePt2
Method: DFT, PBE
State: relaxed

Structure (POSCAR):
```
LaTePt2
1.0
4.680 0.000 0.000
0.000 4.144 0.008
0.000 0.804 5.050
La Pt Te
1 2 1
Direct
0.500 0.761 0.801 La
0.000 0.173 0.976 Pt
0.500 0.200 0.257 Pt
0.000 0.365 0.466 Te
```

Calculated values
As for the calculated density: 11.14 g/cm³. Its total energy is -5.9111 eV per atom.

12.
Material: LaTe2Pt
Method: DFT, PBE
State: relaxed

Structure (POSCAR):
```
LaTe2Pt
1.0
-2.127 -8.521 3.840
-2.604 -9.225 -0.046
1.024 -9.399 1.576
Te Pt La
2 1 1
Direct
0.886 0.886 0.886 Te
0.114 0.114 0.114 Te
0.500 0.500 0.500 Pt
0.000 0.000 0.000 La
```

Calculated values
As for the calculated density: 7.67 g/cm³. Its total energy is -4.6390 eV per atom.

13.
Material: LaTe4Pt
Method: DFT, PBE
State: relaxed

Structure (POSCAR):
```
LaTe4Pt
1.0
-3.300 -2.516 4.629
-6.211 0.253 -0.115
-3.304 -5.172 -0.991
La Te Pt
1 4 1
Direct
0.750 0.750 0.750 La
0.879 0.374 0.374 Te
0.374 0.374 0.879 Te
0.374 0.879 0.374 Te
0.374 0.374 0.374 Te
0.000 0.000 0.000 Pt
```

Calculated values
As for the calculated density: 8.25 g/cm³. Its total energy is -3.8700 eV per atom.

14.
Material: LaTe2Pt
Method: DFT, PBE
State: relaxed

Structure (POSCAR):
```
LaTe2Pt
1.0
6.255 -0.009 0.000
3.166 5.394 0.000
-4.710 -2.693 3.112
La Pt Te
1 1 2
Direct
0.250 0.750 0.500 La
0.750 0.250 0.500 Pt
0.000 0.000 0.000 Te
0.500 0.500 0.000 Te
```

Calculated values
As for the calculated density: 9.31 g/cm³. Its total energy is -4.9039 eV per atom.

15.
Material: LaTe2Pt
Method: DFT, PBE
State: relaxed

Structure (POSCAR):
```
LaTe2Pt
1.0
-4.698 0.735 -0.399
0.921 -4.291 3.925
-1.110 1.629 4.344
La Pt Te
1 1 2
Direct
0.000 0.500 0.500 La
0.500 0.500 0.000 Pt
0.000 0.000 0.000 Te
0.500 0.000 0.500 Te
```

Calculated values
As for the calculated density: 8.68 g/cm³. Its total energy is -5.0026 eV per atom.

16.
Material: LaTe2Pt
Method: DFT, PBE
State: relaxed

Structure (POSCAR):
```
LaTe2Pt
1.0
0.000 3.728 3.728
3.728 0.000 3.728
3.728 3.728 0.000
Te Pt La
2 1 1
Direct
0.250 0.250 0.250 Te
0.750 0.750 0.750 Te
0.500 0.500 0.500 Pt
0.000 0.000 0.000 La
```

Calculated values
As for the calculated density: 9.44 g/cm³. Its total energy is -4.8982 eV per atom.

17.
Material: LaTe2Pt2
Method: DFT, PBE
State: relaxed

Structure (POSCAR):
```
LaTe2Pt2
1.0
-0.713 4.004 -1.368
-1.031 -1.510 -3.882
-7.099 0.767 -0.785
Te Pt La
2 2 1
Direct
0.379 0.379 0.242 Te
0.621 0.621 0.758 Te
0.750 0.250 0.500 Pt
0.250 0.750 0.500 Pt
0.000 0.000 0.000 La
```

Calculated values
As for the calculated density: 10.86 g/cm³. Its total energy is -5.2742 eV per atom.

18.
Material: LaTe3Pt
Method: DFT, PBE
State: relaxed

Structure (POSCAR):
```
LaTe3Pt
1.0
-1.004 -4.553 2.600
0.006 -2.648 -4.635
5.243 -0.869 0.504
Te Pt La
3 1 1
Direct
0.000 0.500 0.000 Te
0.000 0.000 0.500 Te
0.500 0.000 0.000 Te
0.000 0.000 0.000 Pt
0.500 0.500 0.500 La
```

Calculated values
As for the calculated density: 7.82 g/cm³. Its total energy is -4.6459 eV per atom.

19.
Material: LaTe2Pt
Method: DFT, PBE
State: relaxed

Structure (POSCAR):
```
LaTe2Pt
1.0
4.175 0.000 0.000
0.000 4.319 0.019
0.000 2.117 6.812
La Pt Te
1 1 2
Direct
0.000 0.546 0.533 La
0.500 0.959 0.707 Pt
0.000 0.844 0.942 Te
0.500 0.152 0.318 Te
```

Calculated values
As for the calculated density: 7.98 g/cm³. Its total energy is -5.3282 eV per atom.

20.
Material: LaTePt
Method: DFT, PBE
State: relaxed

Structure (POSCAR):
```
LaTePt
1.0
-0.863 2.583 3.068
1.320 -2.781 2.712
17.819 7.326 -1.159
Te Pt La
4 4 4
Direct
0.000 0.000 0.590 Te
0.000 0.000 0.410 Te
0.500 0.500 0.090 Te
0.500 0.500 0.910 Te
0.000 0.500 0.682 Pt
0.500 0.000 0.318 Pt
0.500 0.000 0.182 Pt
0.000 0.500 0.818 Pt
0.000 0.000 0.000 La
0.500 0.500 0.500 La
0.000 0.500 0.250 La
0.500 0.000 0.750 La
```

Calculated values
As for the calculated density: 9.44 g/cm³. Its total energy is -5.8423 eV per atom.

21.
Material: LaTe2Pt
Method: DFT, PBE
State: relaxed

Structure (POSCAR):
```
LaTe2Pt
1.0
-3.494 -4.360 2.637
-2.494 -4.956 -2.719
2.291 -3.226 0.787
La Pt Te
1 1 2
Direct
0.750 0.750 0.750 La
0.250 0.250 0.250 Pt
0.075 0.075 0.924 Te
0.425 0.425 0.576 Te
```

Calculated values
As for the calculated density: 8.58 g/cm³. Its total energy is -5.1716 eV per atom.

22.
Material: LaTePt3
Method: DFT, PBE
State: relaxed

Structure (POSCAR):
```
LaTePt3
1.0
5.013 0.000 0.000
0.000 5.013 0.000
0.000 0.000 5.013
Te Pt La
1 3 1
Direct
0.000 0.000 0.000 Te
0.000 0.500 0.000 Pt
0.000 0.000 0.500 Pt
0.500 0.000 0.000 Pt
0.500 0.500 0.500 La
```

Calculated values
As for the calculated density: 11.23 g/cm³. Its total energy is -5.4797 eV per atom.

23.
Material: LaTe2Pt
Method: DFT, PBE
State: relaxed

Structure (POSCAR):
```
LaTe2Pt
1.0
-2.691 -2.925 3.494
0.882 -5.208 0.327
2.469 -2.005 4.230
La Pt Te
1 1 2
Direct
0.500 0.500 0.500 La
0.750 0.750 0.750 Pt
0.000 0.000 0.000 Te
0.250 0.250 0.250 Te
```

Calculated values
As for the calculated density: 9.34 g/cm³. Its total energy is -4.8439 eV per atom.

24.
Material: LaTe3Pt
Method: DFT, PBE
State: relaxed

Structure (POSCAR):
```
LaTe3Pt
1.0
6.071 0.000 0.000
0.000 6.071 0.000
0.000 0.000 6.071
Te Pt La
3 1 1
Direct
0.000 0.500 0.000 Te
0.000 0.000 0.500 Te
0.500 0.000 0.000 Te
0.500 0.500 0.500 Pt
0.000 0.000 0.000 La
```

Calculated values
As for the calculated density: 5.32 g/cm³. Its total energy is -3.4220 eV per atom.

25.
Material: La4TePt
Method: DFT, PBE
State: relaxed

Structure (POSCAR):
```
La4TePt
1.0
0.000 4.453 4.453
4.453 0.000 4.453
4.453 4.453 0.000
La Te Pt
4 1 1
Direct
0.877 0.374 0.374 La
0.374 0.374 0.877 La
0.374 0.877 0.374 La
0.374 0.374 0.374 La
0.000 0.000 0.000 Te
0.750 0.750 0.750 Pt
```

Calculated values
As for the calculated density: 8.26 g/cm³. Its total energy is -4.8515 eV per atom.

26.
Material: LaTe2Pt
Method: DFT, PBE
State: relaxed

Structure (POSCAR):
```
LaTe2Pt
1.0
-1.617 -3.059 -2.088
-2.223 -1.179 3.448
-5.918 3.401 -0.402
La Pt Te
1 1 2
Direct
0.500 0.250 0.250 La
0.500 0.750 0.750 Pt
0.000 0.829 0.991 Te
0.000 0.671 0.509 Te
```

Calculated values
As for the calculated density: 8.60 g/cm³. Its total energy is -5.1752 eV per atom.

27.
Material: LaTe2Pt
Method: DFT, PBE
State: relaxed

Structure (POSCAR):
```
LaTe2Pt
1.0
6.222 -0.051 0.066
4.414 4.385 0.066
1.304 0.531 4.084
La Pt Te
1 1 2
Direct
0.443 0.443 0.672 La
0.235 0.235 0.301 Pt
0.054 0.054 0.032 Te
0.767 0.767 0.495 Te
```

Calculated values
As for the calculated density: 8.74 g/cm³. Its total energy is -5.2651 eV per atom.

28.
Material: LaTePt
Method: DFT, PBE
State: relaxed

Structure (POSCAR):
```
LaTePt
1.0
-0.371 0.409 -4.518
2.915 -3.008 1.781
-3.100 -3.014 -0.018
Te Pt La
1 1 1
Direct
0.333 0.667 0.372 Te
0.667 0.333 0.495 Pt
0.000 0.000 0.893 La
```

Calculated values
As for the calculated density: 9.88 g/cm³. Its total energy is -5.8802 eV per atom.

29.
Material: LaTePt2
Method: DFT, PBE
State: relaxed

Structure (POSCAR):
```
LaTePt2
1.0
-3.403 1.121 4.637
1.095 -4.682 -0.837
2.103 -1.472 3.759
La Pt Te
1 2 1
Direct
0.500 0.500 0.000 La
0.000 0.000 0.000 Pt
0.500 0.000 0.500 Pt
0.000 0.500 0.500 Te
```

Calculated values
As for the calculated density: 11.40 g/cm³. Its total energy is -5.7302 eV per atom.